1.
The following is a PBE-GGA calculation of a relaxed CaAuSeBr2 crystal, from Alexandria.

Summary:
Calculated volume, Å³/cell: 145.8
Excess energy over the best structure of this formula in the dataset, meV per atom: 0
Magnetization, μB/atom: 0.0000
Raw formation energy, kJ/mol of formula units: -285
Final energy, Ry/atom: -0.22136

Cell lengths 5.2290, 5.2290, 5.3342 Å; angles 90.00, 90.00, 90.00 degrees
Sites, in units of the cell vectors:
Ca (0.0000, 0.0000, 0.0000)
Au (0.5000, 0.5000, 0.5000)
Se (0.5000, 0.5000, 0.0000)
Br (0.0000, 0.5000, 0.5000)
Br (0.5000, 0.0000, 0.5000)



2.
The following is a PBE-GGA calculation of a relaxed Ca2AuSeBr crystal, from Alexandria.

Summary:
Calculated volume, Å³/cell: 170.7
Magnetization, μB/atom: 0.0000
Raw formation energy, kJ/mol of formula units: -288
Final energy, Ry/atom: -0.22671

Cell lengths 5.5307, 5.5307, 5.5819 Å; angles 90.00, 90.00, 90.00 degrees
Sites, in units of the cell vectors:
Ca (0.0000, 0.5000, 0.0000)
Ca (0.5000, 0.0000, 0.0000)
Au (0.0000, 0.0000, 0.5000)
Se (0.5000, 0.5000, 0.0000)
Br (0.5000, 0.5000, 0.5000)



3.
The following is a PBE-GGA calculation of a relaxed CaTcAu2Br crystal, from Alexandria.

Summary:
Calculated volume, Å³/cell: 124.2
Magnetization, μB/atom: 0.1774
Raw formation energy, kJ/mol of formula units: 384
Final energy, Ry/atom: -0.24424

Cell lengths 5.1804, 5.1804, 4.6269 Å; angles 90.00, 90.00, 90.00 degrees
Sites, in units of the cell vectors:
Ca (0.0000, 0.0000, 0.0000)
Tc (0.5000, 0.5000, 0.0000)
Au (0.0000, 0.5000, 0.5000)
Au (0.5000, 0.0000, 0.5000)
Br (0.5000, 0.5000, 0.5000)



4.
The following is a PBE-GGA calculation of a relaxed CaY2AuBr crystal, from Alexandria.

Summary:
Calculated volume, Å³/cell: 194.2
Magnetization, μB/atom: 0.0000
Raw formation energy, kJ/mol of formula units: -14
Final energy, Ry/atom: -0.29441

Cell lengths 5.4538, 5.4538, 6.5284 Å; angles 90.00, 90.00, 90.00 degrees
Sites, in units of the cell vectors:
Ca (0.0000, 0.0000, 0.0000)
Y (0.0000, 0.5000, 0.5000)
Y (0.5000, 0.0000, 0.5000)
Au (0.5000, 0.5000, 0.5000)
Br (0.5000, 0.5000, 0.0000)



5.
The following is a PBE-GGA calculation of a relaxed CdAuBr4 crystal, from Alexandria.

Summary:
Calculated volume, Å³/cell: 383.8
Excess energy over the best structure of this formula in the dataset, meV per atom: 0
Magnetization, μB/atom: 0.1536
Raw formation energy, kJ/mol of formula units: -254
Final energy, Ry/atom: -0.16554

Cell lengths 6.8463, 4.2143, 14.5757 Å; angles 90.00, 114.12, 90.00 degrees
Sites, in units of the cell vectors:
Cd (0.0000, 0.0000, 0.0000)
Cd (0.0000, 0.5000, 0.5000)
Au (0.5000, 0.0000, 0.5000)
Au (0.5000, 0.5000, 0.0000)
Br (0.2093, 0.1171, 0.8780)
Br (0.2093, 0.3829, 0.3780)
Br (0.2862, 0.5035, 0.1140)
Br (0.2862, 0.9965, 0.6140)
Br (0.7138, 0.0035, 0.3860)
Br (0.7138, 0.4965, 0.8860)
Br (0.7907, 0.6171, 0.6220)
Br (0.7907, 0.8829, 0.1220)



6.
The following is a PBE-GGA calculation of a relaxed CdAu2Br crystal, from Alexandria.

Summary:
Calculated volume, Å³/cell: 100.1
Excess energy over the best structure of this formula in the dataset, meV per atom: 190
Magnetization, μB/atom: 0.0000
Raw formation energy, kJ/mol of formula units: 26
Final energy, Ry/atom: -0.16310

Cell lengths 5.7470, 5.7470, 5.7470 Å; angles 145.08, 109.05, 81.59 degrees
Sites, in units of the cell vectors:
Cd (0.0000, 0.0000, 0.0000)
Au (0.2459, 0.7459, 0.5000)
Au (0.4849, 0.4849, 0.0000)
Br (0.7395, 0.2395, 0.5000)



7.
The following is a PBE-GGA calculation of a relaxed CdAu2Br crystal, from Alexandria.

Summary:
Calculated volume, Å³/cell: 86.7
Excess energy over the best structure of this formula in the dataset, meV per atom: 455
Magnetization, μB/atom: 0.0000
Raw formation energy, kJ/mol of formula units: 128
Final energy, Ry/atom: -0.14362

Cell lengths 4.9682, 4.9682, 4.9682 Å; angles 60.00, 60.00, 60.00 degrees
Sites, in units of the cell vectors:
Cd (0.0000, 0.0000, 0.0000)
Au (0.2500, 0.2500, 0.2500)
Au (0.7500, 0.7500, 0.7500)
Br (0.5000, 0.5000, 0.5000)



8.
The following is a PBE-GGA calculation of a relaxed CdAu2Br crystal, from Alexandria.

Summary:
Calculated volume, Å³/cell: 86.5
Excess energy over the best structure of this formula in the dataset, meV per atom: 349
Magnetization, μB/atom: 0.0000
Raw formation energy, kJ/mol of formula units: 87
Final energy, Ry/atom: -0.15143

Cell lengths 4.9634, 4.9634, 4.9634 Å; angles 60.00, 60.00, 60.00 degrees
Sites, in units of the cell vectors:
Cd (0.0000, 0.0000, 0.0000)
Au (0.5000, 0.5000, 0.5000)
Au (0.7500, 0.7500, 0.7500)
Br (0.2500, 0.2500, 0.2500)



9.
The following is a PBE-GGA calculation of a relaxed CdAu2Br crystal, from Alexandria.

Summary:
Calculated volume, Å³/cell: 111.1
Excess energy over the best structure of this formula in the dataset, meV per atom: 60
Magnetization, μB/atom: 0.0000
Raw formation energy, kJ/mol of formula units: -25
Final energy, Ry/atom: -0.17271

Cell lengths 4.8904, 4.8904, 5.5429 Å; angles 91.26, 91.26, 56.95 degrees
Sites, in units of the cell vectors:
Cd (0.0000, 0.0000, 0.0000)
Au (0.3213, 0.3213, 0.0857)
Au (0.6787, 0.6787, 0.9143)
Br (0.5000, 0.5000, 0.5000)



10.
The following is a PBE-GGA calculation of a relaxed Cd2AuBr6 crystal, from Alexandria.

Summary:
Calculated volume, Å³/cell: 615.4
Excess energy over the best structure of this formula in the dataset, meV per atom: 0
Magnetization, μB/atom: 0.0937
Raw formation energy, kJ/mol of formula units: -470
Final energy, Ry/atom: -0.16342

Cell lengths 8.7981, 8.7981, 8.0129 Å; angles 90.74, 90.74, 82.93 degrees
Sites, in units of the cell vectors:
Cd (0.1144, 0.2573, 0.3024)
Cd (0.2573, 0.1144, 0.8024)
Cd (0.7427, 0.8856, 0.1976)
Cd (0.8856, 0.7427, 0.6976)
Au (0.4040, 0.5960, 0.7500)
Au (0.5960, 0.4040, 0.2500)
Br (0.0205, 0.2134, 0.6101)
Br (0.1299, 0.6151, 0.8716)
Br (0.2134, 0.0205, 0.1101)
Br (0.3125, 0.4582, 0.3544)
Br (0.3849, 0.8701, 0.6284)
Br (0.4582, 0.3125, 0.8544)
Br (0.5418, 0.6875, 0.1456)
Br (0.6151, 0.1299, 0.3716)
Br (0.6875, 0.5418, 0.6456)
Br (0.7866, 0.9795, 0.8899)
Br (0.8701, 0.3849, 0.1284)
Br (0.9795, 0.7866, 0.3899)



11.
The following is a PBE-GGA calculation of a relaxed Cd3AuBr crystal, from Alexandria.

Summary:
Calculated volume, Å³/cell: 154.0
Excess energy over the best structure of this formula in the dataset, meV per atom: 0
Magnetization, μB/atom: 0.0000
Raw formation energy, kJ/mol of formula units: -71
Final energy, Ry/atom: -0.12398

Cell lengths 5.3596, 5.3596, 5.3596 Å; angles 90.00, 90.00, 90.00 degrees
Sites, in units of the cell vectors:
Cd (0.0000, 0.0000, 0.5000)
Cd (0.0000, 0.5000, 0.0000)
Cd (0.5000, 0.0000, 0.0000)
Au (0.0000, 0.0000, 0.0000)
Br (0.5000, 0.5000, 0.5000)



12.
The following is a PBE-GGA calculation of a relaxed CdAu2Br crystal, from Alexandria.

Summary:
Calculated volume, Å³/cell: 106.4
Excess energy over the best structure of this formula in the dataset, meV per atom: 88
Magnetization, μB/atom: 0.0000
Raw formation energy, kJ/mol of formula units: -14
Final energy, Ry/atom: -0.17062

Cell lengths 3.8141, 3.8141, 7.3125 Å; angles 90.00, 90.00, 90.00 degrees
Sites, in units of the cell vectors:
Cd (0.0000, 0.0000, 0.0000)
Au (0.0000, 0.0000, 0.3672)
Au (0.5000, 0.5000, 0.3269)
Br (0.5000, 0.5000, 0.8312)